Entry P
NdThTl: relaxed, PBE-GGA.

Cell: 9.355 9.355 9.355 Å, 150.76 150.76 41.83°
Positions (direct):
Nd 0.178 0.178 0.000
Nd 0.822 0.822 0.000
Th 0.000 0.500 0.500
Th 0.500 0.000 0.500
Tl 0.361 0.361 0.000
Tl 0.639 0.639 0.000

Calculated values
Space-group type: I4/mmm (139)
Magnetic moment in μB/f.u.: 0.00

---

Entry Q
NdThTl: relaxed, PBE-GGA.

Cell: 5.998 5.998 5.998 Å, 139.30 139.30 58.92°
Positions (direct):
Nd 0.000 0.000 0.000
Th 0.682 0.682 0.000
Tl 0.344 0.344 0.000

Calculated values
Space-group type: I4mm (107)
Magnetic moment in μB/f.u.: 0.00

---

Which is most stable, and by how much? entry P, by 79 meV/atom.